# 1
TlRu2Au after structural relaxation, computed with PBE.

Properties
Crystal system   monoclinic
Energy of formation from the pure elements   0.552 eV/atom
Density of states at the Fermi level   1.281 states/eV/atom
Magnetic moment   0.00 μB/f.u.

Lattice parameters (Å, degrees): 9.1127 2.9576 5.3006 90.00 102.11 90.00
Space group C2/m (No. 12)
Asymmetric unit:
Tl (0.0000, 0.0000, 0.0000)
Ru (0.2493, 0.5000, 0.2892)
Au (0.0000, 0.5000, 0.5000)



# 2
TlRu2Au after structural relaxation, computed with PBE.

Properties
Crystal system   tetragonal
Energy of formation from the pure elements   0.563 eV/atom
Density of states at the Fermi level   1.071 states/eV/atom
Magnetic moment   0.00 μB/f.u.

Lattice parameters (Å, degrees): 4.0780 4.0780 8.1053 90.00 90.00 90.00
Space group I-4m2 (No. 119)
Asymmetric unit:
Tl (0.0000, 0.0000, 0.0000)
Ru (0.0000, 0.0000, 0.5000)
Ru (0.0000, 0.5000, 0.2500)
Au (0.0000, 0.5000, 0.7500)



# 3
TlRu2Au after structural relaxation, computed with PBE.

Properties
Crystal system   cubic
Energy of formation from the pure elements   0.603 eV/atom
Density of states at the Fermi level   0.925 states/eV/atom
Magnetic moment   2.20 μB/f.u.

Lattice parameters (Å, degrees): 6.4854 6.4854 6.4854 90.00 90.00 90.00
Space group Fm-3m (No. 225)
Asymmetric unit:
Tl (0.0000, 0.0000, 0.0000)
Ru (0.2500, 0.2500, 0.2500)
Au (0.0000, 0.0000, 0.5000)



# 4
TlRuAu2 after structural relaxation, computed with PBE.

Properties
Crystal system   tetragonal
Energy of formation from the pure elements   0.450 eV/atom
Density of states at the Fermi level   0.780 states/eV/atom
Magnetic moment   1.13 μB/f.u.

Lattice parameters (Å, degrees): 4.0884 4.0884 8.8622 90.00 90.00 90.00
Space group I4/mmm (No. 139)
Asymmetric unit:
Tl (0.0000, 0.0000, 0.0000)
Ru (0.0000, 0.0000, 0.5000)
Au (0.0000, 0.5000, 0.2500)



# 5
TlRuAu2 after structural relaxation, computed with PBE.

Properties
Crystal system   orthorhombic
Energy of formation from the pure elements   0.399 eV/atom
Density of states at the Fermi level   0.494 states/eV/atom
Magnetic moment   0.00 μB/f.u.

Lattice parameters (Å, degrees): 5.6242 8.2823 3.1892 90.00 90.00 90.00
Space group Cmmm (No. 65)
Asymmetric unit:
Tl (0.0000, 0.0000, 0.0000)
Ru (0.0000, 0.5000, 0.0000)
Au (0.2500, 0.2500, 0.5000)



# 6
TlRu2Au after structural relaxation, computed with PBE.

Properties
Crystal system   cubic
Energy of formation from the pure elements   0.675 eV/atom
Density of states at the Fermi level   1.281 states/eV/atom
Magnetic moment   2.01 μB/f.u.

Lattice parameters (Å, degrees): 6.5209 6.5209 6.5209 90.00 90.00 90.00
Space group F-43m (No. 216)
Asymmetric unit:
Tl (0.0000, 0.0000, 0.0000)
Ru (0.0000, 0.0000, 0.5000)
Ru (0.2500, 0.2500, 0.7500)
Au (0.2500, 0.2500, 0.2500)



# 7
TlRu2Au after structural relaxation, computed with PBE.

Properties
Crystal system   trigonal
Energy of formation from the pure elements   0.670 eV/atom
Density of states at the Fermi level   1.093 states/eV/atom
Magnetic moment   0.00 μB/f.u.

Lattice parameters (Å, degrees): 2.9647 2.9647 26.9824 90.00 90.00 120.00
Space group R-3m (No. 166, hexagonal axes)
Asymmetric unit:
Tl (0.0000, 0.0000, 0.0000)
Ru (0.0000, 0.0000, 0.2485)
Au (0.0000, 0.0000, 0.5000)



# 8
TlRuAu after structural relaxation, computed with PBE.

Properties
Crystal system   tetragonal
Energy of formation from the pure elements   0.545 eV/atom
Density of states at the Fermi level   0.955 states/eV/atom
Magnetic moment   1.03 μB/f.u.

Lattice parameters (Å, degrees): 3.0755 3.0755 11.8645 90.00 90.00 90.00
Space group I4mm (No. 107)
Asymmetric unit:
Tl (0.0000, 0.0000, 0.0000)
Ru (0.0000, 0.0000, 0.3396)
Au (0.0000, 0.0000, 0.6882)



# 9
TlRuAu2 after structural relaxation, computed with PBE.

Properties
Crystal system   orthorhombic
Energy of formation from the pure elements   0.360 eV/atom
Density of states at the Fermi level   0.856 states/eV/atom
Magnetic moment   0.13 μB/f.u.

Lattice parameters (Å, degrees): 3.0047 4.6762 11.0818 90.00 90.00 90.00
Space group Immm (No. 71)
Asymmetric unit:
Tl (0.0000, 0.0000, 0.0000)
Ru (0.0000, 0.0000, 0.5000)
Au (0.0000, 0.5000, 0.2113)



# 10
TlRu2Au after structural relaxation, computed with PBE.

Properties
Crystal system   trigonal
Energy of formation from the pure elements   0.473 eV/atom
Density of states at the Fermi level   0.848 states/eV/atom
Magnetic moment   0.00 μB/f.u.

Lattice parameters (Å, degrees): 2.9168 2.9168 28.7390 90.00 90.00 120.00
Space group R3m (No. 160, hexagonal axes)
Asymmetric unit:
Tl (0.0000, 0.0000, 0.0000)
Ru (0.0000, 0.0000, 0.2468)
Ru (0.0000, 0.0000, 0.5125)
Au (0.0000, 0.0000, 0.7633)



# 11
TlRu2Au after structural relaxation, computed with PBE.

Properties
Crystal system   orthorhombic
Energy of formation from the pure elements   0.560 eV/atom
Density of states at the Fermi level   1.150 states/eV/atom
Magnetic moment   1.01 μB/f.u.

Lattice parameters (Å, degrees): 2.9112 4.7964 10.0599 90.00 90.00 90.00
Space group Imm2 (No. 44)
Asymmetric unit:
Tl (0.0000, 0.0000, 0.0000)
Ru (0.0000, 0.0000, 0.5364)
Ru (0.0000, 0.5000, 0.2438)
Au (0.0000, 0.5000, 0.7765)



# 12
TlRuAu2 after structural relaxation, computed with PBE.

Properties
Crystal system   tetragonal
Energy of formation from the pure elements   0.324 eV/atom
Density of states at the Fermi level   0.766 states/eV/atom
Magnetic moment   0.51 μB/f.u.

Lattice parameters (Å, degrees): 4.0697 4.0697 4.3902 90.00 90.00 90.00
Space group P4/mmm (No. 123)
Asymmetric unit:
Tl (0.0000, 0.0000, 0.0000)
Ru (0.5000, 0.5000, 0.0000)
Au (0.0000, 0.5000, 0.5000)



# 13
TlRuAu2 after structural relaxation, computed with PBE.

Properties
Crystal system   trigonal
Energy of formation from the pure elements   0.493 eV/atom
Density of states at the Fermi level   1.076 states/eV/atom
Magnetic moment   0.81 μB/f.u.

Lattice parameters (Å, degrees): 2.9742 2.9742 30.1404 90.00 90.00 120.00
Space group R-3m (No. 166, hexagonal axes)
Asymmetric unit:
Tl (0.0000, 0.0000, 0.0000)
Ru (0.0000, 0.0000, 0.5000)
Au (0.0000, 0.0000, 0.2413)



# 14
TlRuAu after structural relaxation, computed with PBE.

Properties
Crystal system   monoclinic
Energy of formation from the pure elements   0.523 eV/atom
Density of states at the Fermi level   0.915 states/eV/atom
Magnetic moment   1.20 μB/f.u.

Lattice parameters (Å, degrees): 12.7010 2.9843 3.0668 90.00 90.14 90.00
Space group Cm (No. 8)
Asymmetric unit:
Tl (0.0000, 0.0000, 0.0000)
Ru (0.3441, 0.0000, 0.4977)
Au (0.1995, 0.5000, 0.9954)



# 15
TlRuAu2 after structural relaxation, computed with PBE.

Properties
Crystal system   tetragonal
Energy of formation from the pure elements   0.528 eV/atom
Density of states at the Fermi level   0.881 states/eV/atom
Magnetic moment   0.97 μB/f.u.

Lattice parameters (Å, degrees): 3.9376 3.9376 20.4892 90.00 90.00 90.00
Space group I-42d (No. 122)
Asymmetric unit:
Tl (0.0000, 0.0000, 0.0000)
Ru (0.0000, 0.0000, 0.5000)
Au (0.2410, 0.2500, 0.6250)



# 16
TlRu2Au after structural relaxation, computed with PBE.

Properties
Crystal system   tetragonal
Energy of formation from the pure elements   0.984 eV/atom
Density of states at the Fermi level   1.435 states/eV/atom
Magnetic moment   0.00 μB/f.u.

Lattice parameters (Å, degrees): 7.5134 7.5134 5.3227 90.00 90.00 90.00
Space group I-42d (No. 122)
Asymmetric unit:
Tl (0.0000, 0.0000, 0.0000)
Ru (0.2440, 0.2500, 0.6250)
Au (0.0000, 0.0000, 0.5000)



# 17
TlRu2Au after structural relaxation, computed with PBE.

Properties
Crystal system   tetragonal
Energy of formation from the pure elements   0.595 eV/atom
Density of states at the Fermi level   1.428 states/eV/atom
Magnetic moment   0.00 μB/f.u.

Lattice parameters (Å, degrees): 4.5299 4.5299 3.2889 90.00 90.00 90.00
Space group P4/mmm (No. 123)
Asymmetric unit:
Tl (0.0000, 0.0000, 0.0000)
Ru (0.0000, 0.5000, 0.5000)
Au (0.5000, 0.5000, 0.0000)



# 18
Tm5Tl2Ru2Au after structural relaxation, computed with PBE.

Properties
Crystal system   tetragonal
Energy of formation from the pure elements   -0.418 eV/atom
Density of states at the Fermi level   0.652 states/eV/atom
Magnetic moment   0.00 μB/f.u.

Lattice parameters (Å, degrees): 11.5912 11.5912 3.5703 90.00 90.00 90.00
Space group P4/mbm (No. 127)
Asymmetric unit:
Tm (0.0000, 0.5000, 0.0000)
Tm (0.0726, 0.2030, 0.0000)
Tl (0.1760, 0.6760, 0.5000)
Ru (0.1317, 0.3683, 0.5000)
Au (0.0000, 0.0000, 0.5000)



# 19
TlVRu2Au after structural relaxation, computed with PBE.

Properties
Crystal system   tetragonal
Energy of formation from the pure elements   0.932 eV/atom
Density of states at the Fermi level   0.888 states/eV/atom
Magnetic moment   0.00 μB/f.u.

Lattice parameters (Å, degrees): 4.4692 4.4692 5.0202 90.00 90.00 90.00
Space group P4/mmm (No. 123)
Asymmetric unit:
Tl (0.0000, 0.0000, 0.0000)
V (0.5000, 0.5000, 0.5000)
Ru (0.0000, 0.5000, 0.5000)
Au (0.5000, 0.5000, 0.0000)



# 20
Tm4RuAu3 after structural relaxation, computed with PBE.

Properties
Crystal system   tetragonal
Energy of formation from the pure elements   -0.797 eV/atom
Density of states at the Fermi level   0.632 states/eV/atom
Magnetic moment   0.00 μB/f.u.

Lattice parameters (Å, degrees): 3.4767 3.4767 14.2433 90.00 90.00 90.00
Space group P4/mmm (No. 123)
Asymmetric unit:
Tm (0.0000, 0.0000, 0.1143)
Tm (0.0000, 0.0000, 0.3712)
Ru (0.5000, 0.5000, 0.0000)
Au (0.5000, 0.5000, 0.2459)
Au (0.5000, 0.5000, 0.5000)